{
  "formula": "FeNi3Pt",
  "functional": "GGA-PBE",
  "state": "optimized geometry",
  "lattice_angstrom": [[4.466, 0.000, 0.000], [0.713, 4.410, 0.000], [2.229, 1.883, 6.176]],
  "species": ["Fe", "Fe", "Ni", "Ni", "Ni", "Ni", "Ni", "Ni", "Pt", "Pt"],
  "frac_coords": [[0.169, 0.238, 0.445], [0.831, 0.762, 0.555], [0.255, 0.759, 0.743], [0.356, 0.245, 0.052], [0.443, 0.747, 0.359], [0.557, 0.253, 0.641], [0.644, 0.755, 0.948], [0.745, 0.241, 0.257], [0.047, 0.735, 0.159], [0.953, 0.265, 0.841]],
  "relative_energy_ev_per_atom": 0.000,
  "magnetic_moment_mub_per_fu": 5.0,
  "ef_kcal_per_mol_atoms": -2.326
}